a) An optimized crystal structure of TePtSN2, computed with PBE.

a = 3.609 Å, b = 3.609 Å, c = 7.637 Å
α = 90.00°, β = 90.00°, γ = 90.00°
Space group P4/mmm (No. 123)
Inequivalent atoms, fractional coordinates:
Te: 0.000 0.000 0.000 [1 per cell]
Pt: 0.500 0.500 0.000 [1 per cell]
S: 0.000 0.000 0.500 [1 per cell]
N: 0.000 0.500 0.500 [2 per cell]



b) An optimized crystal structure of TePtSN2, computed with PBE.

a = 3.828 Å, b = 3.828 Å, c = 5.717 Å
α = 90.00°, β = 90.00°, γ = 90.00°
Space group P4/mmm (No. 123)
Inequivalent atoms, fractional coordinates:
Te: 0.000 0.000 0.000 [1 per cell]
Pt: 0.500 0.500 0.500 [1 per cell]
S: 0.000 0.000 0.500 [1 per cell]
N: 0.000 0.500 0.000 [2 per cell]



Which of them is the most stable? Correct choice: a).



a) An optimized crystal structure of TePtS2N, computed with PBE.

a = 5.025 Å, b = 5.025 Å, c = 3.700 Å
α = 90.00°, β = 90.00°, γ = 90.00°
Space group P4/mmm (No. 123)
Inequivalent atoms, fractional coordinates:
Te: 0.000 0.000 0.000 [1 per cell]
Pt: 0.500 0.500 0.500 [1 per cell]
S: 0.000 0.500 0.500 [2 per cell]
N: 0.500 0.500 0.000 [1 per cell]



b) An optimized crystal structure of TePtS2N, computed with PBE.

a = 5.065 Å, b = 5.065 Å, c = 3.805 Å
α = 90.00°, β = 90.00°, γ = 90.00°
Space group P4/mmm (No. 123)
Inequivalent atoms, fractional coordinates:
Te: 0.000 0.000 0.000 [1 per cell]
Pt: 0.500 0.500 0.500 [1 per cell]
S: 0.000 0.500 0.000 [2 per cell]
N: 0.000 0.000 0.500 [1 per cell]



Which of them is the most stable? Correct choice: a).



a) An optimized crystal structure of TiPtSN2, computed with PBE.

a = 3.792 Å, b = 3.792 Å, c = 5.162 Å
α = 90.00°, β = 90.00°, γ = 90.00°
Space group P4/mmm (No. 123)
Inequivalent atoms, fractional coordinates:
Ti: 0.000 0.000 0.000 [1 per cell]
Pt: 0.500 0.500 0.500 [1 per cell]
S: 0.000 0.000 0.500 [1 per cell]
N: 0.000 0.500 0.000 [2 per cell]



b) An optimized crystal structure of TiPtSN2, computed with PBE.

a = 3.691 Å, b = 3.691 Å, c = 7.363 Å
α = 90.00°, β = 90.00°, γ = 90.00°
Space group P4/mmm (No. 123)
Inequivalent atoms, fractional coordinates:
Ti: 0.000 0.000 0.000 [1 per cell]
Pt: 0.500 0.500 0.500 [1 per cell]
S: 0.500 0.500 0.000 [1 per cell]
N: 0.000 0.500 0.500 [2 per cell]



Which of them is the most stable? Correct choice: a).



a) An optimized crystal structure of YPtSN2, computed with PBE.

a = 4.325 Å, b = 4.325 Å, c = 5.457 Å
α = 90.00°, β = 90.00°, γ = 90.00°
Space group P4/mmm (No. 123)
Inequivalent atoms, fractional coordinates:
Y: 0.000 0.000 0.000 [1 per cell]
Pt: 0.500 0.500 0.500 [1 per cell]
S: 0.000 0.000 0.500 [1 per cell]
N: 0.000 0.500 0.000 [2 per cell]



b) An optimized crystal structure of YPtSN2, computed with PBE.

a = 3.986 Å, b = 3.986 Å, c = 4.840 Å
α = 90.00°, β = 90.00°, γ = 90.00°
Space group P4/mmm (No. 123)
Inequivalent atoms, fractional coordinates:
Y: 0.000 0.000 0.000 [1 per cell]
Pt: 0.500 0.500 0.500 [1 per cell]
S: 0.500 0.500 0.000 [1 per cell]
N: 0.000 0.500 0.500 [2 per cell]



Which of them is the most stable? Correct choice: b).



a) An optimized crystal structure of ZnPtSN2, computed with PBE.

a = 3.717 Å, b = 3.717 Å, c = 5.569 Å
α = 90.00°, β = 90.00°, γ = 90.00°
Space group P4/mmm (No. 123)
Inequivalent atoms, fractional coordinates:
Zn: 0.000 0.000 0.000 [1 per cell]
Pt: 0.500 0.500 0.500 [1 per cell]
S: 0.000 0.000 0.500 [1 per cell]
N: 0.000 0.500 0.000 [2 per cell]



b) An optimized crystal structure of ZnPtSN2, computed with PBE.

a = 3.684 Å, b = 3.684 Å, c = 8.297 Å
α = 90.00°, β = 90.00°, γ = 90.00°
Space group P4/mmm (No. 123)
Inequivalent atoms, fractional coordinates:
Zn: 0.000 0.000 0.000 [1 per cell]
Pt: 0.500 0.500 0.500 [1 per cell]
S: 0.500 0.500 0.000 [1 per cell]
N: 0.000 0.500 0.500 [2 per cell]



Which of them is the most stable? Correct choice: b).



a) An optimized crystal structure of Sb3PtN, computed with PBE.

a = 4.648 Å, b = 4.648 Å, c = 4.648 Å
α = 90.00°, β = 90.00°, γ = 90.00°
Space group Pm-3m (No. 221)
Inequivalent atoms, fractional coordinates:
Sb: 0.000 0.000 0.500 [3 per cell]
Pt: 0.500 0.500 0.500 [1 per cell]
N: 0.000 0.000 0.000 [1 per cell]



b) An optimized crystal structure of Sb3PtN, computed with PBE.

a = 5.215 Å, b = 5.215 Å, c = 5.215 Å
α = 90.00°, β = 90.00°, γ = 90.00°
Space group Pm-3m (No. 221)
Inequivalent atoms, fractional coordinates:
Sb: 0.000 0.000 0.500 [3 per cell]
Pt: 0.000 0.000 0.000 [1 per cell]
N: 0.500 0.500 0.500 [1 per cell]



Which of them is the most stable? Correct choice: a).



a) An optimized crystal structure of SbPtSeN2, computed with PBE.

a = 3.997 Å, b = 3.997 Å, c = 5.369 Å
α = 90.00°, β = 90.00°, γ = 90.00°
Space group P4/mmm (No. 123)
Inequivalent atoms, fractional coordinates:
Sb: 0.000 0.000 0.000 [1 per cell]
Pt: 0.500 0.500 0.500 [1 per cell]
Se: 0.500 0.500 0.000 [1 per cell]
N: 0.000 0.500 0.500 [2 per cell]



b) An optimized crystal structure of SbPtSeN2, computed with PBE.

a = 3.932 Å, b = 3.932 Å, c = 5.854 Å
α = 90.00°, β = 90.00°, γ = 90.00°
Space group P4/mmm (No. 123)
Inequivalent atoms, fractional coordinates:
Sb: 0.000 0.000 0.000 [1 per cell]
Pt: 0.500 0.500 0.500 [1 per cell]
Se: 0.000 0.000 0.500 [1 per cell]
N: 0.000 0.500 0.000 [2 per cell]



Which of them is the most stable? Correct choice: a).



a) An optimized crystal structure of Sc2PtN2, computed with PBE.

a = 6.366 Å, b = 6.366 Å, c = 3.070 Å
α = 90.00°, β = 90.00°, γ = 90.00°
Space group P4/mbm (No. 127)
Inequivalent atoms, fractional coordinates:
Sc: 0.165 0.335 0.000 [4 per cell]
Pt: 0.000 0.000 0.500 [2 per cell]
N: 0.165 0.665 0.500 [4 per cell]



b) An optimized crystal structure of Sc2PtN2, computed with PBE.

a = 4.351 Å, b = 4.351 Å, c = 8.598 Å
α = 90.00°, β = 90.00°, γ = 90.00°
Space group I4/mmm (No. 139)
Inequivalent atoms, fractional coordinates:
Sc: 0.000 0.500 0.250 [4 per cell]
Pt: 0.000 0.000 0.000 [2 per cell]
N: 0.000 0.000 0.241 [4 per cell]



Which of them is the most stable? Correct choice: b).